# NaMgHg2Te (meta-GGA SCAN, single point on PBEsol structure)
# Volume   157 Å³ per cell
# Magnetic moment   0.000 μB/f.u.
# Raw formation energy   67 meV per atom
# N(E_F)   1.28 states/eV per cell
# ρ   6.09 g/cm³
data_NaMgHg2Te
_chemical_formula_sum 'Na1 Mg1 Hg2 Te1'
_symmetry_space_group_name_H-M 'P 4/m m m'
_symmetry_Int_Tables_number 123
_symmetry_space_group_name_Hall '-P 4 2'
_cell_length_a 5.2520
_cell_length_b 5.2520
_cell_length_c 5.6945
_cell_angle_alpha 90.00
_cell_angle_beta 90.00
_cell_angle_gamma 90.00
loop_
_atom_site_label
_atom_site_fract_x
_atom_site_fract_y
_atom_site_fract_z
Na1 0.0000 0.0000 0.0000
Mg1 0.5000 0.5000 0.5000
Hg1 0.0000 0.5000 0.0000
Te1 0.0000 0.0000 0.5000